Record 1
Density functional theory data (GGA-PBE) for a relaxed TbScCoAu crystal.

uncorrected energy	-5.774	eV/atom

a b c (Å): 6.799 6.799 6.799
angles (deg): 90.00 90.00 90.00
Space group F-43m (No. 216)
Unique sites:
Tb (0.000, 0.000, 0.000) x4
Sc (0.000, 0.000, 0.500) x4
Co (0.250, 0.250, 0.750) x4
Au (0.250, 0.250, 0.250) x4


Record 2
Density functional theory data (GGA-PBE) for a relaxed ZrTe2PtN crystal.

uncorrected energy	-5.524	eV/atom

a b c (Å): 5.540 5.540 3.705
angles (deg): 90.00 90.00 90.00
Space group P4/mmm (No. 123)
Unique sites:
Zr (0.000, 0.000, 0.000) x1
Te (0.000, 0.500, 0.500) x2
Pt (0.500, 0.500, 0.500) x1
N (0.500, 0.500, 0.000) x1


Record 3
Density functional theory data (GGA-PBE) for a relaxed AcHoCuSb crystal.

uncorrected energy	-4.616	eV/atom

a b c (Å): 7.609 7.609 7.609
angles (deg): 90.00 90.00 90.00
Space group F-43m (No. 216)
Unique sites:
Ac (0.000, 0.000, 0.000) x4
Ho (0.000, 0.000, 0.500) x4
Cu (0.250, 0.250, 0.750) x4
Sb (0.250, 0.250, 0.250) x4


Record 4
Density functional theory data (GGA-PBE) for a relaxed Li2NbPtSe crystal.

uncorrected energy	-3.745	eV/atom

a b c (Å): 5.014 5.014 4.780
angles (deg): 90.00 90.00 90.00
Space group P4/mmm (No. 123)
Unique sites:
Li (0.000, 0.500, 0.000) x2
Nb (0.000, 0.000, 0.000) x1
Pt (0.500, 0.500, 0.500) x1
Se (0.000, 0.000, 0.500) x1


Record 5
Density functional theory data (GGA-PBE) for a relaxed RbNaAl crystal.

uncorrected energy	-1.807	eV/atom

a b c (Å): 4.610 25.528 4.651
angles (deg): 90.00 90.00 90.00
Space group Cmcm (No. 63)
Unique sites:
Rb (0.000, 0.172, 0.250) x4
Na (0.000, 0.053, 0.750) x4
Al (0.000, 0.474, 0.750) x4


Record 6
Density functional theory data (GGA-PBE) for a relaxed CaRhAu2 crystal.

uncorrected energy	-4.298	eV/atom

a b c (Å): 4.188 4.188 8.571
angles (deg): 90.00 90.00 90.00
Space group I4/mmm (No. 139)
Unique sites:
Ca (0.000, 0.000, 0.000) x2
Rh (0.000, 0.000, 0.500) x2
Au (0.000, 0.500, 0.250) x4